Entry 1:
Below is crystalline Pr6Er3Sc2 at its relaxed geometry, with properties calculated at the PBE-GGA level.

Values from the calculation:
energy of formation = 0.19 eV per atom

```
Pr6Er3Sc2
1.0
3.108 -5.391 0.000
3.108 5.391 0.000
-2.075 0.000 11.116
Pr Er Sc
6 3 2
direct
0.079 0.410 0.237 Pr
0.251 0.251 0.763 Pr
0.410 0.079 0.237 Pr
0.590 0.921 0.763 Pr
0.749 0.749 0.237 Pr
0.921 0.590 0.763 Pr
0.167 0.833 0.500 Er
0.500 0.500 0.500 Er
0.833 0.167 0.500 Er
0.333 0.667 0.000 Sc
0.667 0.333 0.000 Sc
```



Entry 2:
Below is crystalline Pr2Er3Sc at its relaxed geometry, with properties calculated at the PBE-GGA level.

Values from the calculation:
excess energy over the best structure of this formula in the dataset = 110 meV/atom
energy of formation = 0.15 eV per atom

```
Pr2Er3Sc
1.0
8.811 -1.724 0.000
8.811 1.724 0.000
-6.539 0.000 12.559
Pr Er Sc
4 6 2
direct
0.151 0.151 0.466 Pr
0.322 0.322 0.126 Pr
0.678 0.678 0.874 Pr
0.849 0.849 0.534 Pr
0.099 0.099 0.028 Er
0.240 0.240 0.295 Er
0.461 0.461 0.791 Er
0.539 0.539 0.209 Er
0.760 0.760 0.705 Er
0.901 0.901 0.972 Er
0.064 0.064 0.639 Sc
0.936 0.936 0.361 Sc
```



Entry 3:
Below is crystalline Pr2Er15Sc2 at its relaxed geometry, with properties calculated at the PBE-GGA level.

Values from the calculation:
energy of formation = 0.28 eV per atom

```
Pr2Er15Sc2
1.0
5.575 3.219 5.712
-5.575 3.219 5.712
0.000 -6.438 5.712
Pr Er Sc
2 15 2
direct
0.173 0.173 0.173 Pr
0.827 0.827 0.827 Pr
0.000 0.500 0.500 Er
0.139 0.139 0.645 Er
0.139 0.645 0.139 Er
0.206 0.500 0.794 Er
0.206 0.794 0.500 Er
0.355 0.861 0.861 Er
0.500 0.000 0.500 Er
0.500 0.206 0.794 Er
0.500 0.500 0.000 Er
0.500 0.794 0.206 Er
0.645 0.139 0.139 Er
0.794 0.206 0.500 Er
0.794 0.500 0.206 Er
0.861 0.355 0.861 Er
0.861 0.861 0.355 Er
0.407 0.407 0.407 Sc
0.593 0.593 0.593 Sc
```



Entry 4:
Below is crystalline PrEr4Sc5 at its relaxed geometry, with properties calculated at the PBE-GGA level.

Values from the calculation:
excess energy over the best structure of this formula in the dataset = 0 meV/atom
energy of formation = 0.06 eV per atom

```
PrEr4Sc5
1.0
5.572 -1.709 0.000
5.572 1.709 0.000
-3.001 0.000 14.592
Pr Er Sc
1 4 5
direct
0.000 0.000 0.000 Pr
0.200 0.200 0.401 Er
0.399 0.399 0.796 Er
0.601 0.601 0.204 Er
0.800 0.800 0.599 Er
0.100 0.100 0.699 Sc
0.300 0.300 0.102 Sc
0.500 0.500 0.500 Sc
0.700 0.700 0.898 Sc
0.900 0.900 0.301 Sc
```



Entry 5:
Below is crystalline Pr4ErSc2 at its relaxed geometry, with properties calculated at the PBE-GGA level.

Values from the calculation:
excess energy over the best structure of this formula in the dataset = 88 meV/atom
energy of formation = 0.25 eV per atom

```
Pr4ErSc2
1.0
-3.357 10.991 3.078
3.357 -10.991 3.078
3.357 10.991 -3.078
Pr Er Sc
8 2 4
direct
0.086 0.097 0.183 Pr
0.134 0.604 0.738 Pr
0.366 0.104 0.470 Pr
0.414 0.597 0.011 Pr
0.586 0.403 0.989 Pr
0.634 0.896 0.530 Pr
0.866 0.396 0.262 Pr
0.914 0.903 0.817 Pr
0.250 0.750 0.500 Er
0.750 0.250 0.500 Er
0.242 0.881 0.123 Sc
0.258 0.381 0.639 Sc
0.742 0.619 0.361 Sc
0.758 0.119 0.877 Sc
```



Entry 6:
Below is crystalline Pr4Er7Sc at its relaxed geometry, with properties calculated at the PBE-GGA level.

Values from the calculation:
energy of formation = 0.20 eV per atom

```
Pr4Er7Sc
1.0
5.740 -2.663 0.000
5.740 2.663 0.000
-3.293 0.000 12.698
Pr Er Sc
4 7 1
direct
0.039 0.039 0.283 Pr
0.321 0.321 0.239 Pr
0.679 0.679 0.761 Pr
0.961 0.961 0.717 Pr
0.137 0.137 0.966 Er
0.266 0.266 0.599 Er
0.411 0.411 0.872 Er
0.500 0.500 0.500 Er
0.589 0.589 0.128 Er
0.734 0.734 0.401 Er
0.863 0.863 0.034 Er
0.000 0.000 0.500 Sc
```



Entry 7:
Below is crystalline Pr12Er7Sc at its relaxed geometry, with properties calculated at the PBE-GGA level.

Values from the calculation:
excess energy over the best structure of this formula in the dataset = 44 meV/atom
energy of formation = 0.19 eV per atom

```
Pr12Er7Sc
1.0
9.829 5.675 2.080
-9.829 5.675 2.080
0.000 -11.350 2.080
Pr Er Sc
12 7 1
direct
0.001 0.413 0.588 Pr
0.078 0.079 0.429 Pr
0.079 0.429 0.078 Pr
0.412 0.999 0.587 Pr
0.413 0.588 0.001 Pr
0.429 0.078 0.079 Pr
0.571 0.922 0.921 Pr
0.587 0.412 0.999 Pr
0.588 0.001 0.413 Pr
0.921 0.571 0.922 Pr
0.922 0.921 0.571 Pr
0.999 0.587 0.412 Pr
0.000 0.000 0.000 Er
0.143 0.383 0.382 Er
0.382 0.143 0.383 Er
0.383 0.382 0.143 Er
0.617 0.618 0.857 Er
0.618 0.857 0.617 Er
0.857 0.617 0.618 Er
0.500 0.500 0.500 Sc
```



Entry 8:
Below is crystalline PrEr2Sc4 at its relaxed geometry, with properties calculated at the PBE-GGA level.

Values from the calculation:
excess energy over the best structure of this formula in the dataset = 182 meV/atom
energy of formation = 0.23 eV per atom

```
PrEr2Sc4
1.0
-4.047 4.047 3.137
4.047 -4.047 3.137
4.047 4.047 -3.137
Pr Er Sc
1 2 4
direct
0.000 0.000 0.000 Pr
0.250 0.750 0.500 Er
0.750 0.250 0.500 Er
0.308 0.308 0.615 Sc
0.308 0.692 0.000 Sc
0.692 0.308 0.000 Sc
0.692 0.692 0.385 Sc
```